The following is a PBE calculation of a relaxed Dy4Ho7Mg crystal, from Alexandria.

Lattice parameters (Å, degrees): 11.9851 5.7544 12.4737 90.00 116.68 90.00
Last column: nearest neighbours and their distance in Å.
Space group C2/m (No. 12)
Asymmetric unit:
Dy: 0.1292 0.0000 0.2701 x4  6 Ho 3.31-3.70, 2 Dy 3.45
Dy: 0.1780 0.5000 0.1439 x4  4 Ho 3.30-3.40, 2 Dy 3.45
Ho: 0.0000 0.0000 0.5000 x2  2 Mg 2.88
Ho: 0.0900 0.5000 0.7816 x4  1 Mg 3.18, 2 Ho 3.29
Ho: 0.1331 0.0000 0.9839 x4  2 Ho 3.29-3.39, 5 Dy 3.30-3.59
Ho: 0.2025 0.5000 0.4264 x4  1 Mg 2.96, 2 Ho 3.26-3.29
Mg: 0.0000 0.5000 0.5000 x2  6 Ho 2.88-3.18

## Properties
**Energy above the lowest structure with this stoichiometry**: 0.174 eV/atom
**Calculated density**: 7.90 g/cm3
**Uncorrected energy**: -97.6 eV per cell
**Energy of formation from the pure elements**: 3.3 eV/f.u.

The following is a PBE calculation of a relaxed Dy2HoMgN crystal, from Alexandria.

Lattice parameters (Å, degrees): 4.8772 4.8772 4.8283 90.00 90.00 90.00
Last column: nearest neighbours and their distance in Å.
Space group P4/mmm (No. 123)
Asymmetric unit:
Dy: 0.0000 0.5000 0.0000 x2  2 N 2.44
Ho: 0.0000 0.0000 0.5000 x1  2 N 2.41
Mg: 0.5000 0.5000 0.5000 x1  8 Dy 3.43, 4 Ho 3.45
N: 0.0000 0.0000 0.0000 x1  2 Ho 2.41, 4 Dy 2.44

## Properties
**ΔE_f (raw)**: -0.710 eV/atom
**Calculated density**: 7.64 g/cm3
**Uncorrected energy**: -27.3 eV per cell

The following is a PBE calculation of a relaxed Nd2Dy6Ho3Mg crystal, from Alexandria.

Lattice parameters (Å, degrees): 6.1178 10.6065 11.7381 90.00 100.07 90.00
Last column: nearest neighbours and their distance in Å.
Space group C2/m (No. 12)
Asymmetric unit:
Nd: 0.0000 0.1664 0.0000 x4  3 Nd 3.53-3.54, 3 Mg 3.53-3.54, 6 Dy 3.56-3.57
Dy: 0.2481 0.5000 0.7470 x4  3 Ho 3.50-3.51, 6 Dy 3.52-3.55, 1 Mg 3.56, 2 Nd 3.57
Dy: 0.2493 0.3343 0.2520 x8  3 Ho 3.51-3.53, 6 Dy 3.52-3.55, 1 Mg 3.55, 2 Nd 3.56
Ho: 0.0000 0.0000 0.5000 x2  6 Dy 3.51, 6 Ho 3.53-3.55
Ho: 0.0000 0.3343 0.5000 x4  6 Dy 3.50-3.53, 6 Ho 3.51-3.55
Mg: 0.0000 0.5000 0.0000 x2  6 Nd 3.53-3.54, 6 Dy 3.55-3.56

## Properties
**Calculated density**: 7.89 g/cm3
**Uncorrected energy**: -104.5 eV per cell
**Energy of formation from the pure elements**: 0.2 eV/f.u.

The following is a PBE calculation of a relaxed Nd6Dy2HoMg crystal, from Alexandria.

Lattice parameters (Å, degrees): 9.3286 15.0005 9.6229 90.00 98.01 90.00
Last column: nearest neighbours and their distance in Å.
Space group C2/c (No. 15)
Asymmetric unit:
Nd: 0.0577 0.1803 0.4494 x8  1 Dy 3.46, 7 Nd 3.51-3.84, 2 Ho 3.59-3.84
Nd: 0.1028 0.3986 0.6114 x8  3 Dy 3.18-3.43, 2 Mg 3.36-3.48, 3 Nd 3.39-3.51
Nd: 0.2166 0.2168 0.8058 x8  1 Mg 3.36, 4 Nd 3.39-3.75, 1 Dy 3.44, 1 Ho 3.55
Dy: 0.2477 0.0490 0.0523 x8  5 Nd 3.18-3.46, 2 Ho 3.36-3.48, 1 Mg 3.50
Ho: 0.0000 0.0218 0.7500 x4  4 Dy 3.36-3.48, 4 Nd 3.55-3.59
Mg: 0.0000 0.4099 0.2500 x4  6 Nd 3.36-3.48, 2 Dy 3.50

## Properties
**Calculated density**: 6.87 g/cm3
**Uncorrected energy**: -171.3 eV per cell
**Energy of formation from the pure elements**: 1.2 eV/f.u.

The following is a PBE calculation of a relaxed NdDy2Ho4Mg crystal, from Alexandria.

Lattice parameters (Å, degrees): 5.7715 5.7715 7.4123 90.00 90.00 90.00
Last column: nearest neighbours and their distance in Å.
Space group P4/mmm (No. 123)
Asymmetric unit:
Nd: 0.0000 0.0000 0.0000 x1  8 Ho 3.41, 2 Dy 3.71
Dy: 0.0000 0.0000 0.5000 x1  8 Ho 3.45, 2 Nd 3.71
Dy: 0.5000 0.5000 0.5000 x1  8 Ho 3.45, 2 Mg 3.71
Ho: 0.0000 0.5000 0.2452 x4  2 Mg 3.41, 2 Nd 3.41, 4 Dy 3.45, 2 Ho 3.63-3.78
Mg: 0.5000 0.5000 0.0000 x1  8 Ho 3.41, 2 Dy 3.71

## Properties
**Calculated density**: 7.76 g/cm3
**Uncorrected energy**: -33.0 eV per cell
**Energy of formation from the pure elements**: 0.9 eV/f.u.

The following is a PBE calculation of a relaxed Nd6DyHo2Mg crystal, from Alexandria.

Lattice parameters (Å, degrees): 9.3531 15.0188 9.5606 90.00 97.39 90.00
Last column: nearest neighbours and their distance in Å.
Space group C2/c (No. 15)
Asymmetric unit:
Nd: 0.0566 0.1791 0.4490 x8  1 Ho 3.45, 7 Nd 3.51-3.82, 2 Dy 3.59-3.79
Nd: 0.1016 0.3975 0.6095 x8  3 Ho 3.19-3.44, 2 Mg 3.37-3.45, 3 Nd 3.39-3.51
Nd: 0.2178 0.2171 0.8051 x8  1 Mg 3.36, 5 Nd 3.39-3.76, 2 Ho 3.44-3.75, 1 Dy 3.55
Dy: 0.0000 0.0237 0.7500 x4  4 Ho 3.36-3.50, 4 Nd 3.55-3.59
Ho: 0.2485 0.0497 0.0533 x8  5 Nd 3.19-3.45, 2 Dy 3.36-3.50, 1 Mg 3.51
Mg: 0.0000 0.4106 0.2500 x4  6 Nd 3.36-3.45, 2 Ho 3.51

## Properties
**Calculated density**: 6.89 g/cm3
**Uncorrected energy**: -171.1 eV per cell
**Energy of formation from the pure elements**: 1.2 eV/f.u.

The following is a PBE calculation of a relaxed Nd2DyHo4Mg crystal, from Alexandria.

Lattice parameters (Å, degrees): 4.9627 4.9766 10.1306 90.00 90.00 90.00
Last column: nearest neighbours and their distance in Å.
Space group Pmmm (No. 47)
Asymmetric unit:
Nd: 0.0000 0.0000 0.0000 x1  4 Mg 3.51, 8 Ho 3.54
Nd: 0.5000 0.5000 0.5000 x1  4 Dy 3.51, 8 Ho 3.55-3.56
Dy: 0.0000 0.0000 0.5000 x1  4 Nd 3.51, 8 Ho 3.55-3.56
Ho: 0.0000 0.5000 0.2491 x2  4 Ho 3.51, 2 Mg 3.54, 4 Nd 3.54-3.55, 2 Dy 3.56
Ho: 0.5000 0.0000 0.2493 x2  4 Ho 3.51, 4 Nd 3.54-3.56, 2 Mg 3.55, 2 Dy 3.55
Mg: 0.5000 0.5000 0.0000 x1  4 Nd 3.51, 8 Ho 3.54-3.55

## Properties
**Calculated density**: 7.53 g/cm3
**Uncorrected energy**: -33.8 eV per cell
**Energy of formation from the pure elements**: 0.2 eV/f.u.

The following is a PBE calculation of a relaxed Nd6Dy2Ho3Mg crystal, from Alexandria.

Lattice parameters (Å, degrees): 6.2304 10.7991 11.7819 90.00 100.19 90.00
Last column: nearest neighbours and their distance in Å.
Space group C2/m (No. 12)
Asymmetric unit:
Nd: 0.2488 0.1662 0.2491 x8  1 Mg 3.55, 2 Dy 3.56, 3 Ho 3.57-3.58, 6 Nd 3.59-3.60
Nd: 0.2499 0.0000 0.7498 x4  3 Ho 3.56-3.57, 2 Dy 3.57, 1 Mg 3.57, 6 Nd 3.59-3.60
Dy: 0.0000 0.3334 0.0000 x4  6 Nd 3.56-3.57, 3 Mg 3.60, 3 Dy 3.60
Ho: 0.0000 0.1665 0.5000 x4  6 Nd 3.56-3.58, 6 Ho 3.60
Ho: 0.0000 0.5000 0.5000 x2  6 Nd 3.57, 6 Ho 3.60
Mg: 0.0000 0.0000 0.0000 x2  6 Nd 3.55-3.57, 6 Dy 3.60

## Properties
**Calculated density**: 7.28 g/cm3
**Uncorrected energy**: -105.8 eV per cell
**Energy of formation from the pure elements**: 0.2 eV/f.u.

The following is a PBE calculation of a relaxed NdDy2Ho2Mg2 crystal, from Alexandria.

Lattice parameters (Å, degrees): 5.4660 5.4660 24.0697 90.00 90.00 120.00
Last column: nearest neighbours and their distance in Å.
Space group R-3m (No. 166, hexagonal axes)
Asymmetric unit:
Nd: 0.0000 0.0000 0.0000 x3  6 Mg 3.33
Dy: 0.0000 0.0000 0.4283 x6  4 Mg 3.35-3.38, 1 Dy 3.45, 6 Ho 3.48-3.73
Ho: 0.0000 0.0000 0.1559 x6  3 Ho 3.20, 1 Mg 3.21, 3 Dy 3.48
Mg: 0.0000 0.0000 0.2892 x6  1 Ho 3.21, 3 Nd 3.33, 4 Dy 3.35-3.38

## Properties
**Calculated density**: 6.78 g/cm3
**Uncorrected energy**: -79.7 eV per cell
**Energy of formation from the pure elements**: -0.2 eV/f.u.

The following is a PBE calculation of a relaxed Nd2Dy6HoMg crystal, from Alexandria.

Lattice parameters (Å, degrees): 9.8900 19.6591 6.6183 90.00 98.87 90.00
Last column: nearest neighbours and their distance in Å.
Space group C2/c (No. 15)
Asymmetric unit:
Nd: 0.2331 0.0823 0.4977 x8  2 Ho 3.39-3.63, 7 Dy 3.42-3.71, 1 Mg 3.58
Dy: 0.0581 0.3527 0.0275 x8  2 Ho 3.32-3.45, 1 Mg 3.32, 6 Dy 3.32-3.68, 2 Nd 3.44-3.71
Dy: 0.1172 0.0863 0.9832 x8  1 Mg 3.27, 4 Nd 3.42-3.57, 3 Dy 3.44-3.56
Dy: 0.1765 0.2383 0.7229 x8  6 Dy 3.35-3.56, 2 Mg 3.36-3.40, 1 Nd 3.49
Ho: 0.0000 0.4932 0.7500 x4  4 Dy 3.32-3.45, 2 Ho 3.32, 4 Nd 3.39-3.63
Mg: 0.0000 0.2066 0.2500 x4  8 Dy 3.27-3.40, 2 Nd 3.58

## Properties
**Calculated density**: 7.59 g/cm3
**Uncorrected energy**: -169.2 eV per cell
**Energy of formation from the pure elements**: 1.0 eV/f.u.

The following is a PBE calculation of a relaxed Nd4Dy2HoMg crystal, from Alexandria.

Lattice parameters (Å, degrees): 5.7855 5.7855 7.7375 90.00 90.00 90.00
Last column: nearest neighbours and their distance in Å.
Space group P4/mmm (No. 123)
Asymmetric unit:
Nd: 0.0000 0.5000 0.2397 x4  4 Dy 3.44-3.52, 2 Mg 3.44, 2 Ho 3.52, 1 Nd 3.71
Dy: 0.0000 0.0000 0.0000 x1  8 Nd 3.44
Dy: 0.5000 0.5000 0.5000 x1  8 Nd 3.52, 2 Mg 3.87
Ho: 0.0000 0.0000 0.5000 x1  8 Nd 3.52, 2 Dy 3.87
Mg: 0.5000 0.5000 0.0000 x1  8 Nd 3.44

## Properties
**Calculated density**: 7.00 g/cm3
**Uncorrected energy**: -34.0 eV per cell
**Energy of formation from the pure elements**: 0.4 eV/f.u.

The following is a PBE calculation of a relaxed NdDy4Ho2Mg crystal, from Alexandria.

Lattice parameters (Å, degrees): 5.7769 5.7769 7.4192 90.00 90.00 90.00
Last column: nearest neighbours and their distance in Å.
Space group P4/mmm (No. 123)
Asymmetric unit:
Nd: 0.0000 0.0000 0.0000 x1  8 Dy 3.42, 2 Ho 3.71
Dy: 0.0000 0.5000 0.2463 x4  2 Mg 3.42, 2 Nd 3.42, 4 Ho 3.45, 2 Dy 3.65-3.76
Ho: 0.0000 0.0000 0.5000 x1  8 Dy 3.45, 2 Nd 3.71
Ho: 0.5000 0.5000 0.5000 x1  8 Dy 3.45, 2 Mg 3.71
Mg: 0.5000 0.5000 0.0000 x1  8 Dy 3.42, 2 Ho 3.71

## Properties
**Calculated density**: 7.70 g/cm3
**Uncorrected energy**: -33.1 eV per cell
**Energy of formation from the pure elements**: 0.8 eV/f.u.

The following is a PBE calculation of a relaxed Nd6Dy3Ho2Mg crystal, from Alexandria.

Lattice parameters (Å, degrees): 6.2362 10.8076 11.7802 90.00 100.20 90.00
Last column: nearest neighbours and their distance in Å.
Space group C2/m (No. 12)
Asymmetric unit:
Nd: 0.2487 0.1663 0.2480 x8  1 Mg 3.55, 2 Ho 3.55, 3 Dy 3.58-3.59, 6 Nd 3.59-3.61
Nd: 0.2504 0.0000 0.7507 x4  2 Ho 3.56, 1 Mg 3.56, 3 Dy 3.57, 6 Nd 3.60-3.61
Dy: 0.0000 0.1666 0.5000 x4  6 Nd 3.57-3.59, 6 Dy 3.60
Dy: 0.0000 0.5000 0.5000 x2  6 Nd 3.57-3.58, 6 Dy 3.60
Ho: 0.0000 0.3335 0.0000 x4  6 Nd 3.55-3.56, 3 Ho 3.60, 3 Mg 3.60
Mg: 0.0000 0.0000 0.0000 x2  6 Nd 3.55-3.56, 6 Ho 3.60

## Properties
**Calculated density**: 7.26 g/cm3
**Uncorrected energy**: -105.8 eV per cell
**Energy of formation from the pure elements**: 0.3 eV/f.u.

The following is a PBE calculation of a relaxed Nd3Dy6Ho2Mg crystal, from Alexandria.

Lattice parameters (Å, degrees): 6.1677 10.6922 11.7329 90.00 100.17 90.00
Last column: nearest neighbours and their distance in Å.
Space group C2/m (No. 12)
Asymmetric unit:
Nd: 0.0000 0.0000 0.0000 x2  6 Nd 3.56-3.57, 6 Dy 3.59-3.60
Nd: 0.0000 0.3342 0.0000 x4  6 Nd 3.54-3.57, 6 Dy 3.59-3.61
Dy: 0.2468 0.3338 0.7443 x8  1 Mg 3.49, 2 Ho 3.49-3.50, 6 Dy 3.55-3.57, 3 Nd 3.60-3.61
Dy: 0.2480 0.0000 0.7451 x4  2 Ho 3.50, 1 Mg 3.50, 6 Dy 3.55-3.57, 3 Nd 3.59
Ho: 0.0000 0.1664 0.5000 x4  6 Dy 3.49-3.50, 3 Ho 3.56, 3 Mg 3.56-3.57
Mg: 0.0000 0.5000 0.5000 x2  6 Dy 3.49-3.50, 6 Ho 3.56-3.57

## Properties
**Calculated density**: 7.68 g/cm3
**Uncorrected energy**: -104.5 eV per cell
**Energy of formation from the pure elements**: 0.4 eV/f.u.

The following is a PBE calculation of a relaxed Nd4DyHo2Mg crystal, from Alexandria.

Lattice parameters (Å, degrees): 5.7748 5.7748 7.7558 90.00 90.00 90.00
Last column: nearest neighbours and their distance in Å.
Space group P4/mmm (No. 123)
Asymmetric unit:
Nd: 0.0000 0.5000 0.2397 x4  4 Ho 3.43-3.52, 2 Mg 3.43, 2 Dy 3.52, 1 Nd 3.72
Dy: 0.0000 0.0000 0.5000 x1  8 Nd 3.52, 2 Ho 3.88
Ho: 0.0000 0.0000 0.0000 x1  8 Nd 3.43
Ho: 0.5000 0.5000 0.5000 x1  8 Nd 3.52, 2 Mg 3.88
Mg: 0.5000 0.5000 0.0000 x1  8 Nd 3.43

## Properties
**Calculated density**: 7.02 g/cm3
**Uncorrected energy**: -34.0 eV per cell
**Energy of formation from the pure elements**: 0.4 eV/f.u.

The following is a PBE calculation of a relaxed DyHoMgPb crystal, from Alexandria.

Lattice parameters (Å, degrees): 7.5709 7.5709 7.5709 90.00 90.00 90.00
Last column: nearest neighbours and their distance in Å.
Space group F-43m (No. 216)
Asymmetric unit:
Dy: 0.0000 0.0000 0.0000 x4  4 Mg 3.28, 4 Pb 3.28
Ho: 0.0000 0.0000 0.5000 x4  4 Pb 3.28, 4 Mg 3.28
Mg: 0.2500 0.2500 0.2500 x4  4 Dy 3.28, 4 Ho 3.28
Pb: 0.2500 0.2500 0.7500 x4  4 Dy 3.28, 4 Ho 3.28

## Properties
**Calculated density**: 8.56 g/cm3
**Uncorrected energy**: -62.1 eV per cell
**Energy of formation from the pure elements**: -1.1 eV/f.u.

The following is a PBE calculation of a relaxed Pm3Dy2Ho6Mg crystal, from Alexandria.

Lattice parameters (Å, degrees): 6.1375 10.6372 11.7028 90.00 100.12 90.00
Last column: nearest neighbours and their distance in Å.
Space group C2/m (No. 12)
Asymmetric unit:
Pm: 0.0000 0.0000 0.0000 x2  6 Pm 3.54-3.56, 6 Ho 3.57
Pm: 0.0000 0.3343 0.0000 x4  6 Pm 3.53-3.56, 6 Ho 3.56-3.58
Dy: 0.0000 0.1665 0.5000 x4  6 Ho 3.49-3.50, 3 Dy 3.54-3.55, 3 Mg 3.54-3.55
Ho: 0.2475 0.3337 0.7456 x8  1 Mg 3.49, 2 Dy 3.49-3.50, 6 Ho 3.54-3.55, 3 Pm 3.57-3.58
Ho: 0.2487 0.0000 0.7463 x4  2 Dy 3.50, 1 Mg 3.50, 6 Ho 3.54-3.55, 3 Pm 3.56-3.57
Mg: 0.0000 0.5000 0.5000 x2  6 Ho 3.49-3.50, 6 Dy 3.54-3.55

## Properties
**Calculated density**: 7.83 g/cm3
**Uncorrected energy**: -104.3 eV per cell
**Energy of formation from the pure elements**: 0.4 eV/f.u.

The following is a PBE calculation of a relaxed Pm2DyHo4Mg crystal, from Alexandria.

Lattice parameters (Å, degrees): 4.9540 4.9668 10.0939 90.00 90.00 90.00
Last column: nearest neighbours and their distance in Å.
Space group Pmmm (No. 47)
Asymmetric unit:
Pm: 0.0000 0.0000 0.0000 x1  4 Mg 3.51, 8 Ho 3.53
Pm: 0.5000 0.5000 0.5000 x1  4 Dy 3.51, 8 Ho 3.54-3.55
Dy: 0.0000 0.0000 0.5000 x1  4 Pm 3.51, 8 Ho 3.54-3.55
Ho: 0.0000 0.5000 0.2489 x2  4 Ho 3.51, 2 Mg 3.53, 4 Pm 3.53-3.54, 2 Dy 3.55
Ho: 0.5000 0.0000 0.2493 x2  4 Ho 3.51, 4 Pm 3.53-3.55, 2 Mg 3.54, 2 Dy 3.54
Mg: 0.5000 0.5000 0.0000 x1  4 Pm 3.51, 8 Ho 3.53-3.54

## Properties
**Calculated density**: 7.60 g/cm3
**Uncorrected energy**: -33.8 eV per cell
**Energy of formation from the pure elements**: 0.2 eV/f.u.

The following is a PBE calculation of a relaxed PmDy2HoMg crystal, from Alexandria.

Lattice parameters (Å, degrees): 6.1347 5.5922 9.4022 90.00 108.90 90.00
Last column: nearest neighbours and their distance in Å.
Space group P2_1/m (No. 11)
Asymmetric unit:
Pm: 0.0362 0.2500 0.3891 x2  1 Ho 3.45, 3 Mg 3.45-3.71, 6 Dy 3.46-3.72, 2 Pm 3.60
Dy: 0.3761 0.7500 0.3950 x2  5 Dy 3.44-3.59, 4 Pm 3.48-3.72, 2 Mg 3.52-3.59, 1 Ho 3.53
Dy: 0.4489 0.2500 0.2016 x2  3 Mg 3.43-3.52, 3 Dy 3.44-3.59, 2 Pm 3.46-3.52, 4 Ho 3.47-3.62
Ho: 0.1639 0.7500 0.9985 x2  4 Mg 3.42-3.57, 1 Pm 3.45, 2 Ho 3.45, 5 Dy 3.47-3.62
Mg: 0.2303 0.2500 0.8064 x2  4 Ho 3.42-3.57, 5 Dy 3.43-3.59, 3 Pm 3.45-3.71

## Properties
**Calculated density**: 7.17 g/cm3
**Uncorrected energy**: -40.1 eV per cell
**Energy of formation from the pure elements**: 0.1 eV/f.u.

The following is a PBE calculation of a relaxed PmDy2Ho4Mg crystal, from Alexandria.

Lattice parameters (Å, degrees): 5.7564 5.7564 7.4246 90.00 90.00 90.00
Last column: nearest neighbours and their distance in Å.
Space group P4/mmm (No. 123)
Asymmetric unit:
Pm: 0.0000 0.0000 0.0000 x1  8 Ho 3.40, 2 Dy 3.71
Dy: 0.0000 0.0000 0.5000 x1  8 Ho 3.45, 2 Pm 3.71
Dy: 0.5000 0.5000 0.5000 x1  8 Ho 3.45, 2 Mg 3.71
Ho: 0.0000 0.5000 0.2443 x4  2 Mg 3.40, 2 Pm 3.40, 4 Dy 3.45, 2 Ho 3.63-3.80
Mg: 0.5000 0.5000 0.0000 x1  8 Ho 3.40, 2 Dy 3.71

## Properties
**Calculated density**: 7.79 g/cm3
**Uncorrected energy**: -33.0 eV per cell
**Energy of formation from the pure elements**: 0.9 eV/f.u.